Entry 1:
Entry from Alexandria via LeMat-Bulk: an optimized crystal structure of NbCuRe2Bi (PBE).

The uncorrected energy comes out at -30.404 eV per cell. The formation energy from the elements comes out at 2.508 eV/atom. The calculation puts the density of states at the Fermi level at 1.277 states/eV per atom.

Cell lengths 4.980, 4.547, 4.980 Å; angles 90.00, 90.00, 90.00 degrees
Sites, in units of the cell vectors:
Re 0.000 0.000 0.500
Re 0.500 0.000 0.000
Nb 0.500 0.500 0.500
Bi 0.000 0.000 0.000
Cu 0.000 0.500 0.000


Entry 2:
Entry from Alexandria via LeMat-Bulk: an optimized crystal structure of Nb2CuBiRu (PBE).

The uncorrected energy comes out at -31.537 eV per cell. The formation energy from the elements comes out at 1.171 eV/atom. The calculation puts the density of states at the Fermi level at 1.044 states/eV per atom.

Cell lengths 4.823, 5.109, 4.823 Å; angles 90.00, 90.00, 90.00 degrees
Sites, in units of the cell vectors:
Ru 0.000 0.000 0.000
Nb 0.000 0.000 0.500
Nb 0.500 0.000 0.000
Bi 0.000 0.500 0.000
Cu 0.500 0.500 0.500


Entry 3:
Entry from Alexandria via LeMat-Bulk: an optimized crystal structure of Nb2CuBiS (PBE).

The uncorrected energy comes out at -31.213 eV per cell. The calculation puts the density of states at the Fermi level at 1.224 states/eV per atom.

Cell lengths 4.781, 4.220, 4.781 Å; angles 90.00, 90.00, 90.00 degrees
Sites, in units of the cell vectors:
S 0.000 0.000 0.000
Nb 0.000 0.000 0.500
Nb 0.500 0.000 0.000
Bi 0.500 0.500 0.500
Cu 0.000 0.500 0.000


Entry 4:
Entry from Alexandria via LeMat-Bulk: an optimized crystal structure of NbCu2BiTe (PBE).

The uncorrected energy comes out at -20.103 eV per cell. The calculation puts the density of states at the Fermi level at 0.714 states/eV per atom.

Cell lengths 4.897, 5.540, 4.897 Å; angles 90.00, 90.00, 90.00 degrees
Sites, in units of the cell vectors:
Nb 0.000 0.000 0.000
Te 0.500 0.500 0.500
Bi 0.000 0.500 0.000
Cu 0.000 0.000 0.500
Cu 0.500 0.000 0.000


Entry 5:
Entry from Alexandria via LeMat-Bulk: an optimized crystal structure of NdCuBi2 (PBE).

The uncorrected energy comes out at -17.759 eV per cell. The formation energy from the elements comes out at -0.283 eV/atom. The calculation puts the density of states at the Fermi level at 0.529 states/eV per atom.

Cell lengths 4.469, 4.862, 4.862 Å; angles 90.00, 90.00, 90.00 degrees
Sites, in units of the cell vectors:
Nd 0.500 0.500 0.500
Bi 0.000 0.000 0.500
Bi 0.000 0.500 0.000
Cu 0.500 0.000 0.000


Entry 6:
Entry from Alexandria via LeMat-Bulk: an optimized crystal structure of NdCu4Bi (PBE).

The uncorrected energy comes out at -25.589 eV per cell. The formation energy from the elements comes out at -0.093 eV/atom. The calculation puts the density of states at the Fermi level at 0.372 states/eV per atom.

Cell lengths 5.340, 5.340, 5.340 Å; angles 60.00, 60.00, 60.00 degrees
Sites, in units of the cell vectors:
Nd 0.250 0.250 0.250
Bi 0.000 0.000 0.000
Cu 0.625 0.625 0.126
Cu 0.625 0.126 0.625
Cu 0.625 0.625 0.625
Cu 0.126 0.625 0.625


Entry 7:
Entry from Alexandria via LeMat-Bulk: an optimized crystal structure of Nd4CuBi (PBE).

The uncorrected energy comes out at -56.757 eV per cell. The formation energy from the elements comes out at -0.222 eV/atom. The calculation puts the density of states at the Fermi level at 1.221 states/eV per atom.

Cell lengths 5.674, 6.536, 10.658 Å; angles 90.00, 105.44, 90.00 degrees
Sites, in units of the cell vectors:
Nd 0.896 0.322 0.791
Nd 0.104 0.822 0.209
Nd 0.451 0.822 0.901
Nd 0.549 0.322 0.099
Nd 0.704 0.570 0.408
Nd 0.296 0.070 0.592
Nd 0.704 0.074 0.408
Nd 0.296 0.574 0.592
Cu 0.585 0.823 0.171
Cu 0.415 0.323 0.829
Bi 0.855 0.822 0.710
Bi 0.145 0.322 0.290


Entry 8:
Entry from Alexandria via LeMat-Bulk: an optimized crystal structure of NdCuBi (PBE).

The uncorrected energy comes out at -13.255 eV per cell. The formation energy from the elements comes out at -0.170 eV/atom. The calculation puts the density of states at the Fermi level at 0.501 states/eV per atom.

Cell lengths 4.262, 4.262, 5.380 Å; angles 113.34, 113.34, 90.00 degrees
Sites, in units of the cell vectors:
Nd 0.622 0.622 0.244
Bi 0.269 0.269 0.539
Cu 0.959 0.959 0.917


Entry 9:
Entry from Alexandria via LeMat-Bulk: an optimized crystal structure of NdCuBi (PBE).

The uncorrected energy comes out at -27.947 eV per cell. The formation energy from the elements comes out at -0.409 eV/atom. The calculation puts the density of states at the Fermi level at 0.370 states/eV per atom.

Cell lengths 6.545, 4.931, 8.398 Å; angles 106.97, 92.99, 41.13 degrees
Sites, in units of the cell vectors:
Bi 0.848 0.309 0.314
Bi 0.152 0.691 0.686
Nd 0.369 0.266 0.270
Nd 0.631 0.734 0.730
Cu 0.001 0.744 0.000
Cu 0.999 0.256 0.000


Entry 10:
Entry from Alexandria via LeMat-Bulk: an optimized crystal structure of Nd3Cu3Bi4 (PBE).

The uncorrected energy comes out at -95.824 eV per cell. The formation energy from the elements comes out at -0.580 eV/atom. The calculation puts the density of states at the Fermi level at 0.077 states/eV per atom.

Cell lengths 8.667, 8.667, 8.667 Å; angles 109.47, 109.47, 109.47 degrees
Sites, in units of the cell vectors:
Nd 0.875 0.125 0.750
Nd 0.625 0.375 0.250
Nd 0.125 0.250 0.375
Nd 0.375 0.750 0.125
Nd 0.750 0.625 0.875
Nd 0.250 0.875 0.625
Cu 0.375 0.625 0.750
Cu 0.125 0.875 0.250
Cu 0.625 0.250 0.875
Cu 0.875 0.750 0.625
Cu 0.750 0.125 0.375
Cu 0.250 0.375 0.125
Bi 0.665 0.000 0.000
Bi 0.835 0.835 0.335
Bi 0.000 0.500 0.165
Bi 0.165 0.000 0.000
Bi 0.500 0.665 0.500
Bi 0.335 0.335 0.835
Bi 0.500 0.165 0.500
Bi 0.000 0.500 0.665


Entry 11:
Entry from Alexandria via LeMat-Bulk: an optimized crystal structure of Nd8CuBi2 (PBE).

The uncorrected energy comes out at -53.179 eV per cell. The formation energy from the elements comes out at -0.289 eV/atom. The calculation puts the density of states at the Fermi level at 1.137 states/eV per atom.

Cell lengths 4.950, 7.379, 10.102 Å; angles 98.99, 104.18, 90.00 degrees
Sites, in units of the cell vectors:
Nd 0.407 0.497 0.815
Nd 0.648 0.035 0.297
Nd 0.785 0.654 0.571
Nd 0.994 0.222 0.988
Nd 0.215 0.346 0.429
Nd 0.352 0.965 0.703
Nd 0.593 0.503 0.185
Nd 0.006 0.778 0.012
Cu 0.500 0.000 0.000
Bi 0.818 0.224 0.637
Bi 0.182 0.776 0.363


Entry 12:
Entry from Alexandria via LeMat-Bulk: an optimized crystal structure of NdCuBi2 (PBE).

The uncorrected energy comes out at -16.562 eV per cell. The formation energy from the elements comes out at 0.016 eV/atom. The calculation puts the density of states at the Fermi level at 0.432 states/eV per atom.

Cell lengths 3.577, 3.577, 10.767 Å; angles 80.44, 80.44, 60.00 degrees
Sites, in units of the cell vectors:
Nd 0.500 0.500 0.500
Bi 0.081 0.081 0.757
Bi 0.919 0.919 0.243
Cu 0.000 0.000 0.000


Entry 13:
Entry from Alexandria via LeMat-Bulk: an optimized crystal structure of Nd4Cu3Bi8 (PBE).

The uncorrected energy comes out at -70.141 eV per cell. The formation energy from the elements comes out at -0.516 eV/atom. The calculation puts the density of states at the Fermi level at 0.301 states/eV per atom.

Cell lengths 4.602, 4.602, 19.561 Å; angles 90.00, 90.00, 90.00 degrees
Sites, in units of the cell vectors:
Nd 0.500 0.000 0.380
Nd 0.500 0.000 0.886
Nd 0.000 0.500 0.114
Nd 0.000 0.500 0.620
Cu 0.500 0.500 0.500
Cu 0.000 0.000 0.000
Cu 0.000 0.000 0.500
Bi 0.500 0.000 0.073
Bi 0.500 0.000 0.581
Bi 0.000 0.500 0.419
Bi 0.000 0.500 0.927
Bi 0.500 0.500 0.248
Bi 0.500 0.500 0.752
Bi 0.000 0.000 0.247
Bi 0.000 0.000 0.753


Entry 14:
Entry from Alexandria via LeMat-Bulk: an optimized crystal structure of Nd5CuBi3 (PBE).

The uncorrected energy comes out at -91.833 eV per cell. The formation energy from the elements comes out at -0.704 eV/atom. The calculation puts the density of states at the Fermi level at 1.133 states/eV per atom.

Cell lengths 9.641, 9.641, 6.621 Å; angles 90.00, 90.00, 120.00 degrees
Sites, in units of the cell vectors:
Nd 0.667 0.333 0.000
Nd 0.333 0.667 0.000
Nd 0.333 0.667 0.500
Nd 0.667 0.333 0.500
Nd 0.742 0.742 0.750
Nd 0.258 0.000 0.750
Nd 0.000 0.258 0.750
Nd 0.258 0.258 0.250
Nd 0.742 0.000 0.250
Nd 0.000 0.742 0.250
Cu 0.000 0.000 0.000
Cu 0.000 0.000 0.500
Bi 0.384 0.384 0.750
Bi 0.616 0.000 0.750
Bi 0.000 0.616 0.750
Bi 0.616 0.616 0.250
Bi 0.384 0.000 0.250
Bi 0.000 0.384 0.250


Entry 15:
Entry from Alexandria via LeMat-Bulk: an optimized crystal structure of NdCuBi (PBE).

The uncorrected energy comes out at -14.207 eV per cell. The formation energy from the elements comes out at -0.487 eV/atom. The calculation puts the density of states at the Fermi level at 0.548 states/eV per atom.

Cell lengths 4.366, 4.499, 4.499 Å; angles 120.00, 90.00, 90.00 degrees
Sites, in units of the cell vectors:
Nd 0.696 0.667 0.333
Bi 0.211 0.333 0.667
Cu 0.093 0.000 0.000


Entry 16:
Entry from Alexandria via LeMat-Bulk: an optimized crystal structure of Sr2NdCu2Bi2O8 (PBE).

The uncorrected energy comes out at -90.027 eV per cell. The calculation puts the density of states at the Fermi level at 0.190 states/eV per atom.

Cell lengths 15.695, 15.695, 15.695 Å; angles 166.02, 166.02, 19.82 degrees
Sites, in units of the cell vectors:
Sr 0.115 0.115 0.000
Sr 0.885 0.885 0.000
Cu 0.445 0.445 0.000
Cu 0.555 0.555 0.000
Nd 0.000 0.000 0.000
Bi 0.296 0.296 0.000
Bi 0.704 0.704 0.000
O 0.551 0.051 0.500
O 0.449 0.949 0.500
O 0.051 0.551 0.500
O 0.949 0.449 0.500
O 0.202 0.202 0.000
O 0.798 0.798 0.000
O 0.365 0.365 0.000
O 0.635 0.635 0.000


Entry 17:
Entry from Alexandria via LeMat-Bulk: an optimized crystal structure of PmNdCuBi (PBE).

The uncorrected energy comes out at -19.007 eV per cell. The formation energy from the elements comes out at -0.378 eV/atom. The calculation puts the density of states at the Fermi level at 0.775 states/eV per atom.

Cell lengths 5.352, 5.352, 5.352 Å; angles 60.00, 60.00, 60.00 degrees
Sites, in units of the cell vectors:
Nd 0.500 0.500 0.500
Bi 0.750 0.750 0.750
Cu 0.250 0.250 0.250
Pm 0.000 0.000 0.000


Entry 18:
Entry from Alexandria via LeMat-Bulk: an optimized crystal structure of NdCuBiRh (PBE).

The uncorrected energy comes out at -21.499 eV per cell. The formation energy from the elements comes out at -0.351 eV/atom. The calculation puts the density of states at the Fermi level at 0.583 states/eV per atom.

Cell lengths 4.903, 4.903, 4.903 Å; angles 60.00, 60.00, 60.00 degrees
Sites, in units of the cell vectors:
Rh 0.750 0.750 0.750
Nd 0.000 0.000 0.000
Bi 0.500 0.500 0.500
Cu 0.250 0.250 0.250


Entry 19:
Entry from Alexandria via LeMat-Bulk: an optimized crystal structure of NdCuBi2S5 (PBE).

The uncorrected energy comes out at -88.057 eV per cell.

Cell lengths 4.009, 9.711, 12.243 Å; angles 90.00, 90.00, 101.91 degrees
Sites, in units of the cell vectors:
Nd 0.797 0.594 0.506
Nd 0.203 0.406 0.006
Cu 0.569 0.137 0.961
Cu 0.431 0.863 0.461
Bi 0.913 0.826 0.766
Bi 0.149 0.298 0.677
Bi 0.087 0.174 0.266
Bi 0.851 0.702 0.177
S 0.352 0.705 0.027
S 0.675 0.350 0.856
S 0.503 0.006 0.800
S 0.288 0.576 0.673
S 0.944 0.888 0.558
S 0.648 0.295 0.527
S 0.325 0.650 0.356
S 0.497 0.994 0.300
S 0.712 0.424 0.173
S 0.056 0.112 0.058


Entry 20:
Entry from Alexandria via LeMat-Bulk: an optimized crystal structure of Nd2CuBiSe5 (PBE).

The uncorrected energy comes out at -90.543 eV per cell.

Cell lengths 4.120, 9.063, 12.400 Å; angles 90.00, 90.00, 103.14 degrees
Sites, in units of the cell vectors:
Nd 0.886 0.772 0.803
Nd 0.116 0.232 0.684
Nd 0.114 0.228 0.303
Nd 0.884 0.768 0.184
Cu 0.500 0.001 0.987
Cu 0.500 0.999 0.487
Bi 0.813 0.626 0.497
Bi 0.187 0.374 0.997
Se 0.355 0.710 0.996
Se 0.705 0.410 0.825
Se 0.509 0.019 0.793
Se 0.293 0.587 0.663
Se 0.964 0.929 0.574
Se 0.645 0.290 0.496
Se 0.295 0.590 0.325
Se 0.491 0.981 0.293
Se 0.707 0.413 0.163
Se 0.036 0.071 0.074